# 1
BaHgOs4 after structural relaxation. Source: Alexandria, functional PBE. Values from VASP.

For the final energy, the calculation gives -6.914 eV/atom. The calculation puts the formation energy at 944 meV/atom.

```
&SYSTEM
  ibrav = 0, nat = 6, ntyp = 3
/
ATOMIC_SPECIES
Ba 137.33 Ba.upf
Hg 200.59 Hg.upf
Os 190.23 Os.upf
CELL_PARAMETERS angstrom
0.000 3.866 3.866
3.866 0.000 3.866
3.866 3.866 0.000
ATOMIC_POSITIONS angstrom
Ba 0.000 0.000 0.000
Hg 5.800 5.800 5.800
Os 2.906 2.906 2.906
Os 4.827 4.827 2.906
Os 4.827 2.906 4.827
Os 2.906 4.827 4.827
```


# 2
Ba2HgOs after structural relaxation. Source: Alexandria, functional PBE. Values from VASP.

For the final energy, the calculation gives -3.262 eV/atom. The calculation puts the formation energy at 582 meV/atom.

```
&SYSTEM
  ibrav = 0, nat = 8, ntyp = 3
/
ATOMIC_SPECIES
Ba 137.33 Ba.upf
Hg 200.59 Hg.upf
Os 190.23 Os.upf
CELL_PARAMETERS angstrom
4.857 0.000 0.000
0.000 4.857 0.000
0.000 0.000 9.903
ATOMIC_POSITIONS angstrom
Ba 0.000 0.000 0.000
Ba 0.000 2.429 2.476
Ba 2.429 0.000 7.428
Ba 2.429 2.429 4.952
Hg 0.000 2.429 7.428
Hg 2.429 0.000 2.476
Os 0.000 0.000 4.952
Os 2.429 2.429 0.000
```


# 3
Ba2SnHgOs after structural relaxation. Source: Alexandria, functional PBE. Values from VASP.

For the final energy, the calculation gives -3.861 eV/atom. The calculation puts the formation energy at 15 meV/atom.

```
&SYSTEM
  ibrav = 0, nat = 5, ntyp = 4
/
ATOMIC_SPECIES
Ba 137.33 Ba.upf
Sn 118.71 Sn.upf
Hg 200.59 Hg.upf
Os 190.23 Os.upf
CELL_PARAMETERS angstrom
6.079 0.000 0.000
0.000 6.079 0.000
0.000 0.000 5.138
ATOMIC_POSITIONS angstrom
Ba 0.000 3.039 0.000
Ba 3.039 0.000 0.000
Sn 0.000 0.000 2.569
Hg 3.039 3.039 2.569
Os 0.000 0.000 0.000
```


# 4
BaHgP2 after structural relaxation. Source: Alexandria, functional PBE. Values from VASP.

For the final energy, the calculation gives -3.675 eV/atom. The calculation puts the formation energy at -414 meV/atom.

```
&SYSTEM
  ibrav = 0, nat = 4, ntyp = 3
/
ATOMIC_SPECIES
Ba 137.33 Ba.upf
Hg 200.59 Hg.upf
P 30.97 P.upf
CELL_PARAMETERS angstrom
4.863 0.000 0.000
0.000 4.184 0.000
-0.409 0.000 5.709
ATOMIC_POSITIONS angstrom
Ba 0.000 0.000 0.000
Hg 2.227 0.000 2.854
P 1.876 2.092 4.632
P 2.578 2.092 1.077
```


# 5
BaHgP2 after structural relaxation. Source: Alexandria, functional PBE. Values from VASP.

For the final energy, the calculation gives -3.187 eV/atom. The calculation puts the formation energy at 74 meV/atom.

```
&SYSTEM
  ibrav = 0, nat = 8, ntyp = 3
/
ATOMIC_SPECIES
Ba 137.33 Ba.upf
Hg 200.59 Hg.upf
P 30.97 P.upf
CELL_PARAMETERS angstrom
4.669 0.000 0.000
0.000 4.669 0.000
0.000 0.000 9.466
ATOMIC_POSITIONS angstrom
Ba 0.000 0.000 0.000
Ba 2.334 2.334 4.733
Hg 0.000 0.000 4.733
Hg 2.334 2.334 0.000
P 0.000 2.334 2.366
P 0.000 2.334 7.099
P 2.334 0.000 2.366
P 2.334 0.000 7.099
```


# 6
BaHgP2 after structural relaxation. Source: Alexandria, functional PBE. Values from VASP.

For the final energy, the calculation gives -3.508 eV/atom. The calculation puts the formation energy at -247 meV/atom.

```
&SYSTEM
  ibrav = 0, nat = 16, ntyp = 3
/
ATOMIC_SPECIES
Ba 137.33 Ba.upf
Hg 200.59 Hg.upf
P 30.97 P.upf
CELL_PARAMETERS angstrom
5.045 0.000 0.000
0.000 5.045 0.000
0.000 0.000 18.048
ATOMIC_POSITIONS angstrom
Ba 0.000 0.000 0.000
Ba 0.000 2.523 4.512
Ba 2.523 0.000 13.536
Ba 2.523 2.523 9.024
Hg 0.000 0.000 9.024
Hg 0.000 2.523 13.536
Hg 2.523 0.000 4.512
Hg 2.523 2.523 0.000
P 0.384 1.261 11.280
P 1.261 2.907 15.792
P 1.261 4.661 6.768
P 2.138 1.261 2.256
P 2.907 3.784 2.256
P 3.784 0.384 6.768
P 3.784 2.138 15.792
P 4.661 3.784 11.280
```


# 7
BaHgP2 after structural relaxation. Source: Alexandria, functional PBE. Values from VASP.

For the final energy, the calculation gives -3.360 eV/atom. The calculation puts the formation energy at -99 meV/atom.

```
&SYSTEM
  ibrav = 0, nat = 8, ntyp = 3
/
ATOMIC_SPECIES
Ba 137.33 Ba.upf
Hg 200.59 Hg.upf
P 30.97 P.upf
CELL_PARAMETERS angstrom
5.261 0.000 0.000
0.000 6.365 0.000
0.000 0.000 6.474
ATOMIC_POSITIONS angstrom
Ba 0.000 0.000 0.000
Ba 2.630 3.182 0.000
Hg 0.000 0.000 3.237
Hg 2.630 3.182 3.237
P 0.000 3.182 2.144
P 0.000 3.182 4.330
P 2.630 0.000 2.144
P 2.630 0.000 4.330
```


# 8
BaHgP2 after structural relaxation. Source: Alexandria, functional PBE. Values from VASP.

For the final energy, the calculation gives -3.263 eV/atom. The calculation puts the formation energy at -2 meV/atom.

```
&SYSTEM
  ibrav = 0, nat = 8, ntyp = 3
/
ATOMIC_SPECIES
Ba 137.33 Ba.upf
Hg 200.59 Hg.upf
P 30.97 P.upf
CELL_PARAMETERS angstrom
6.750 0.000 0.000
0.000 6.810 0.000
-0.014 0.000 4.347
ATOMIC_POSITIONS angstrom
Ba 0.000 0.000 0.000
Ba 3.375 3.405 0.000
Hg 0.000 3.405 0.000
Hg 3.375 0.000 0.000
P 1.680 1.703 2.173
P 1.680 5.108 2.173
P 5.055 1.703 2.173
P 5.055 5.108 2.173
```


# 9
BaHgP2 after structural relaxation. Source: Alexandria, functional PBE. Values from VASP.

For the final energy, the calculation gives -3.396 eV/atom. The calculation puts the formation energy at -135 meV/atom.

```
&SYSTEM
  ibrav = 0, nat = 12, ntyp = 3
/
ATOMIC_SPECIES
Ba 137.33 Ba.upf
Hg 200.59 Hg.upf
P 30.97 P.upf
CELL_PARAMETERS angstrom
4.697 0.000 0.000
-2.349 4.068 0.000
0.000 0.000 16.387
ATOMIC_POSITIONS angstrom
Ba 0.000 0.000 0.000
Ba 0.000 2.712 10.925
Ba 2.349 1.356 5.462
Hg 0.000 0.000 8.193
Hg 0.000 2.712 2.731
Hg 2.349 1.356 13.656
P 0.000 0.000 3.331
P 0.000 0.000 13.056
P 0.000 2.712 7.593
P 0.000 2.712 14.256
P 2.349 1.356 2.131
P 2.349 1.356 8.793
```


# 10
Ba4HgP after structural relaxation. Source: Alexandria, functional PBE. Values from VASP.

For the final energy, the calculation gives -1.857 eV/atom. The calculation puts the formation energy at 377 meV/atom.

```
&SYSTEM
  ibrav = 0, nat = 6, ntyp = 3
/
ATOMIC_SPECIES
Ba 137.33 Ba.upf
Hg 200.59 Hg.upf
P 30.97 P.upf
CELL_PARAMETERS angstrom
0.000 5.019 5.019
5.019 0.000 5.019
5.019 5.019 0.000
ATOMIC_POSITIONS angstrom
Ba 3.779 3.779 3.779
Ba 6.259 6.259 3.779
Ba 6.259 3.779 6.259
Ba 3.779 6.259 6.259
Hg 0.000 0.000 0.000
P 7.529 7.529 7.529
```


# 11
BaHgP2 after structural relaxation. Source: Alexandria, functional PBE. Values from VASP.

For the final energy, the calculation gives -3.654 eV/atom. The calculation puts the formation energy at -393 meV/atom.

```
&SYSTEM
  ibrav = 0, nat = 8, ntyp = 3
/
ATOMIC_SPECIES
Ba 137.33 Ba.upf
Hg 200.59 Hg.upf
P 30.97 P.upf
CELL_PARAMETERS angstrom
3.938 0.000 0.000
0.000 5.448 0.000
0.000 0.000 9.910
ATOMIC_POSITIONS angstrom
Ba 0.000 0.000 0.000
Ba 1.969 2.724 4.955
Hg 0.000 2.724 7.894
Hg 1.969 0.000 2.939
P 0.000 0.000 5.900
P 0.000 2.724 2.116
P 1.969 0.000 7.070
P 1.969 2.724 0.945
```


# 12
Ba8Hg2P after structural relaxation. Source: Alexandria, functional PBE. Values from VASP.

For the final energy, the calculation gives -2.300 eV/atom. The calculation puts the formation energy at -355 meV/atom.

```
&SYSTEM
  ibrav = 0, nat = 11, ntyp = 3
/
ATOMIC_SPECIES
Ba 137.33 Ba.upf
Hg 200.59 Hg.upf
P 30.97 P.upf
CELL_PARAMETERS angstrom
7.295 -5.254 0.000
7.295 5.254 0.000
-2.667 0.000 7.635
ATOMIC_POSITIONS angstrom
Ba 0.360 0.000 2.063
Ba 4.453 2.154 2.023
Ba 3.421 0.000 5.680
Ba 7.470 2.154 5.612
Ba 4.453 -2.154 2.023
Ba 8.502 0.000 1.955
Ba 7.470 -2.154 5.612
Ba 11.563 0.000 5.572
Hg 0.156 0.000 7.281
Hg 11.767 0.000 0.355
P 5.961 0.000 3.818
```


# 13
Ba6Hg3P after structural relaxation. Source: Alexandria, functional PBE. Values from VASP.

For the final energy, the calculation gives -2.298 eV/atom. The calculation puts the formation energy at -513 meV/atom.

```
&SYSTEM
  ibrav = 0, nat = 20, ntyp = 3
/
ATOMIC_SPECIES
Ba 137.33 Ba.upf
Hg 200.59 Hg.upf
P 30.97 P.upf
CELL_PARAMETERS angstrom
8.219 0.000 0.000
0.000 9.127 0.000
-7.808 0.000 12.282
ATOMIC_POSITIONS angstrom
Ba -1.108 0.422 2.922
Ba -5.012 4.141 9.063
Ba 1.245 6.322 0.813
Ba -2.659 7.368 6.954
Ba 2.612 1.560 0.867
Ba -1.292 3.003 7.008
Ba 1.703 6.123 5.274
Ba -2.201 7.567 11.415
Ba 3.070 1.759 5.328
Ba -0.834 2.804 11.469
Ba 5.423 4.985 3.219
Ba 1.519 8.705 9.360
Hg -3.359 1.004 9.255
Hg 0.546 3.559 3.114
Hg 0.206 0.000 6.141
Hg 4.110 4.563 0.000
Hg -0.135 5.567 9.168
Hg 3.770 8.123 3.027
P 0.000 0.000 0.000
P -3.904 4.563 6.141
```


# 14
BaHgP3 after structural relaxation. Source: Alexandria, functional PBE. Values from VASP.

For the final energy, the calculation gives -3.333 eV/atom. The calculation puts the formation energy at 358 meV/atom.

```
&SYSTEM
  ibrav = 0, nat = 5, ntyp = 3
/
ATOMIC_SPECIES
Ba 137.33 Ba.upf
Hg 200.59 Hg.upf
P 30.97 P.upf
CELL_PARAMETERS angstrom
5.121 0.000 0.000
0.000 5.121 0.000
0.000 0.000 5.121
ATOMIC_POSITIONS angstrom
Ba 0.000 0.000 0.000
Hg 2.561 2.561 2.561
P 0.000 2.561 2.561
P 2.561 0.000 2.561
P 2.561 2.561 0.000
```